(1)
FeNiAu2: optimized geometry, PBE-GGA.

Its volume is 14.96 A^3/atom. The total DFT energy (no corrections) comes out at -5.135 eV/atom. The energy above the most stable polymorph in this dataset comes out at 0.00 kcal/mol of atoms.

The structure belongs to space group P4mm (No. 99); the cell edges are 2.993, 2.993 and 6.684 Å and the angles 90.00°, 90.00° and 90.00°. Symmetry generates all atoms from Fe at (0.000, 0.000, 0.000), Ni at (0.500, 0.500, 0.180), Au at (0.000, 0.000, 0.431) and Au at (0.500, 0.500, 0.740).

=====

(2)
CsK3Au8: optimized geometry, PBE-GGA.

Its volume is 24.31 A^3/atom. The total DFT energy (no corrections) comes out at -2.774 eV/atom. The energy above the most stable polymorph in this dataset comes out at 0.14 kcal/mol of atoms.

The structure belongs to space group R3m (No. 160, hexagonal axes); the cell edges are 5.8627, 5.8627 and 29.4052 Å and the angles 90.00°, 90.00° and 120.00°. Symmetry generates all atoms from Cs at (0.0000, 0.0000, 0.0000), K at (0.0000, 0.0000, 0.1262), K at (0.0000, 0.0000, 0.5009), K at (0.0000, 0.0000, 0.6249), Au at (0.0000, 0.0000, 0.3124), Au at (0.0000, 0.0000, 0.8135), Au at (0.0024, 0.5012, 0.0662) and Au at (0.1682, 0.3364, 0.8939).

=====

(3)
TlSbO2: optimized geometry, PBE-GGA.

Its volume is 15.50 A^3/atom. Its formation energy without anion corrections is -83 kJ/mol of formula units. The total DFT energy (no corrections) comes out at -4.315 eV/atom. The energy above the most stable polymorph in this dataset comes out at 19.71 kcal/mol of atoms.

The structure belongs to space group Fm-3m (No. 225); the cell edges are 6.283, 6.283 and 6.283 Å and the angles 90.00°, 90.00° and 90.00°. Symmetry generates all atoms from Tl at (0.000, 0.000, 0.000), Sb at (0.000, 0.000, 0.500) and O at (0.250, 0.250, 0.250).

=====

(4)
SmEr2Al2Ga2: optimized geometry, PBE-GGA.

Its volume is 23.33 A^3/atom. The total DFT energy (no corrections) comes out at -4.297 eV/atom.

The structure belongs to space group R-3m (No. 166, hexagonal axes); the cell edges are 4.3826, 4.3826 and 29.4549 Å and the angles 90.00°, 90.00° and 120.00°. Symmetry generates all atoms from Sm at (0.0000, 0.0000, 0.0000), Er at (0.0000, 0.0000, 0.1289), Al at (0.0000, 0.0000, 0.3972) and Ga at (0.0000, 0.0000, 0.2552).

=====

(5)
SrInRh: optimized geometry, PBE-GGA.

Its volume is 26.51 A^3/atom. The total DFT energy (no corrections) comes out at -4.356 eV/atom.

The structure belongs to space group C2/m (No. 12); the cell edges are 12.680, 4.497 and 5.690 Å and the angles 90.00°, 101.32° and 90.00°. Symmetry generates all atoms from Sr at (0.127, 0.000, 0.322), In at (0.092, 0.500, 0.813) and Rh at (0.212, 0.000, 0.873).

=====

(6)
CoMo2Pt: optimized geometry, PBE-GGA.

Its volume is 14.43 A^3/atom. The total DFT energy (no corrections) comes out at -8.753 eV/atom. The energy above the most stable polymorph in this dataset comes out at 2.02 kcal/mol of atoms.

The structure belongs to space group P4mm (No. 99); the cell edges are 2.707, 2.707 and 7.880 Å and the angles 90.00°, 90.00° and 90.00°. Symmetry generates all atoms from Co at (0.000, 0.000, 0.000), Mo at (0.000, 0.000, 0.501), Mo at (0.500, 0.500, 0.216) and Pt at (0.500, 0.500, 0.758).

=====

(7)
CeHCl5: optimized geometry, PBE-GGA.

Its volume is 30.85 A^3/atom. The total DFT energy (no corrections) comes out at -4.122 eV/atom.

The structure belongs to space group C2/c (No. 15); the cell edges are 7.351, 13.342 and 9.183 Å and the angles 90.00°, 106.40° and 90.00°. Symmetry generates all atoms from Ce at (0.250, 0.250, 0.000), H at (0.000, 0.153, 0.250), Cl at (0.000, 0.334, 0.750), Cl at (0.036, 0.148, 0.425) and Cl at (0.204, 0.396, 0.158).

=====

(8)
Cs3CrRu: optimized geometry, PBE-GGA.

Its volume is 44.38 A^3/atom. The total DFT energy (no corrections) comes out at -2.984 eV/atom.

The structure belongs to space group Pm-3m (No. 221); the cell edges are 6.054, 6.054 and 6.054 Å and the angles 90.00°, 90.00° and 90.00°. Symmetry generates all atoms from Cs at (0.000, 0.000, 0.500), Cr at (0.500, 0.500, 0.500) and Ru at (0.000, 0.000, 0.000).

=====

(9)
Ce6Mg2FeH: optimized geometry, PBE-GGA.

Its volume is 24.50 A^3/atom. The total DFT energy (no corrections) comes out at -5.046 eV/atom.

The structure belongs to space group C2/m (No. 12); the cell edges are 9.870, 9.879 and 7.040 Å and the angles 90.00°, 134.45° and 90.00°. Symmetry generates all atoms from Ce at (0.000, 0.243, 0.000), Ce at (0.229, 0.000, 0.458), Ce at (0.245, 0.000, 0.001), Mg at (0.000, 0.249, 0.500), Fe at (0.000, 0.500, 0.000) and H at (0.000, 0.000, 0.000).

=====

(10)
La4AuCl3: optimized geometry, PBE-GGA.

Its volume is 27.08 A^3/atom. Its formation energy without anion corrections is -1086 kJ/mol of formula units. The total DFT energy (no corrections) comes out at -4.972 eV/atom.

The structure belongs to space group I4/mmm (No. 139); the cell edges are 5.994, 5.994 and 12.061 Å and the angles 90.00°, 90.00° and 90.00°. Symmetry generates all atoms from La at (0.000, 0.000, 0.245), La at (0.000, 0.500, 0.000), Au at (0.000, 0.000, 0.500), Cl at (0.000, 0.000, 0.000) and Cl at (0.000, 0.500, 0.250).

=====

(11)
TbHoRuRh: optimized geometry, PBE-GGA.

Its volume is 19.85 A^3/atom. The total DFT energy (no corrections) comes out at -7.083 eV/atom.

The structure belongs to space group F-43m (No. 216); the cell edges are 6.823, 6.823 and 6.823 Å and the angles 90.00°, 90.00° and 90.00°. Symmetry generates all atoms from Tb at (0.000, 0.000, 0.000), Ho at (0.000, 0.000, 0.500), Ru at (0.250, 0.250, 0.750) and Rh at (0.250, 0.250, 0.250).

=====

(12)
CaPr3Sm4: optimized geometry, PBE-GGA.

Its volume is 35.95 A^3/atom. The total DFT energy (no corrections) comes out at -4.196 eV/atom.

The structure belongs to space group C2/m (No. 12); the cell edges are 26.616, 5.850 and 3.694 Å and the angles 90.00°, 90.04° and 90.00°. Symmetry generates all atoms from Ca at (0.000, 0.000, 0.000), Pr at (0.000, 0.500, 0.500), Pr at (0.152, 0.500, 0.001), Sm at (0.105, 0.000, 0.501) and Sm at (0.224, 0.000, 0.501).